Entry 1:
Entry from Alexandria: an optimized crystal structure of KSrAlS3 (PBE).

Unit cell a=8.2686 b=8.2686 c=8.5905 alpha=104.27 beta=104.27 gamma=34.08
Fractional positions:
K 0.1495 0.1495 0.0687
K 0.8505 0.8505 0.9313
Sr 0.1494 0.1494 0.5764
Sr 0.8506 0.8506 0.4236
Al 0.4946 0.4946 0.7308
Al 0.5054 0.5054 0.2692
S 0.0038 0.0038 0.2742
S 0.3464 0.3464 0.6561
S 0.3581 0.3581 0.2027
S 0.6419 0.6419 0.7973
S 0.6536 0.6536 0.3439
S 0.9962 0.9962 0.7258

Output
Volume, Å³/cell: 318
ρ, g/cm3: 2.610
Uncorrected energy, eV/atom: -4.454

=====

Entry 2:
Entry from Alexandria: an optimized crystal structure of K2TaAlS5 (PBE).

Unit cell a=9.3349 b=9.3349 c=14.0845 alpha=90.00 beta=90.00 gamma=157.54
Fractional positions:
K 0.0961 0.9039 0.5000
K 0.1280 0.8720 0.1383
K 0.8720 0.1280 0.6383
K 0.9039 0.0961 0.0000
Ta 0.2243 0.7757 0.8604
Ta 0.7757 0.2243 0.3604
Al 0.4272 0.5728 0.2683
Al 0.5728 0.4272 0.7683
S 0.0710 0.9290 0.8683
S 0.2813 0.7187 0.4785
S 0.3018 0.6982 0.2373
S 0.3443 0.6557 0.8296
S 0.4899 0.5101 0.1380
S 0.5101 0.4899 0.6380
S 0.6557 0.3443 0.3296
S 0.6982 0.3018 0.7373
S 0.7187 0.2813 0.9785
S 0.9290 0.0710 0.3683

Output
Volume, Å³/cell: 469
ρ, g/cm3: 3.163
Uncorrected energy, eV/atom: -5.397

=====

Entry 3:
Entry from Alexandria: an optimized crystal structure of K4Tb3AlS8 (PBE).

Unit cell a=8.6767 b=8.6767 c=8.6767 alpha=54.59 beta=54.59 gamma=54.59
Fractional positions:
K 0.0000 0.0000 0.0000
K 0.0000 0.5000 0.5000
K 0.5000 0.0000 0.5000
K 0.5000 0.5000 0.0000
Tb 0.0000 0.0000 0.5000
Tb 0.0000 0.5000 0.0000
Tb 0.5000 0.0000 0.0000
Al 0.5000 0.5000 0.5000
S 0.2350 0.2350 0.2350
S 0.2548 0.7193 0.7193
S 0.2807 0.2807 0.7452
S 0.2807 0.7452 0.2807
S 0.7193 0.2548 0.7193
S 0.7193 0.7193 0.2548
S 0.7452 0.2807 0.2807
S 0.7650 0.7650 0.7650

Output
Volume, Å³/cell: 404
ρ, g/cm3: 3.770
Uncorrected energy, eV/atom: -5.097

=====

Entry 4:
Entry from Alexandria: an optimized crystal structure of K2TbAlS4 (PBE).

Unit cell a=8.1175 b=8.1175 c=8.1175 alpha=122.02 beta=118.32 gamma=89.74
Fractional positions:
K 0.0000 0.0000 0.0000
K 0.5000 0.0000 0.0000
K 0.5000 0.0000 0.5000
K 0.5000 0.5000 0.5000
Tb 0.0000 0.5000 0.5000
Tb 0.5000 0.5000 0.0000
Al 0.0000 0.0000 0.5000
Al 0.0000 0.5000 0.0000
S 0.1896 0.7410 0.4485
S 0.2075 0.2590 0.9485
S 0.2236 0.2446 0.5211
S 0.2236 0.7025 0.9789
S 0.7764 0.2975 0.0211
S 0.7764 0.7554 0.4789
S 0.7925 0.7410 0.0515
S 0.8104 0.2590 0.5515

Output
Volume, Å³/cell: 377
ρ, g/cm3: 3.459
Uncorrected energy, eV/atom: -4.772

=====

Entry 5:
Entry from Alexandria: an optimized crystal structure of K3Tb2AlS6 (PBE).

Unit cell a=6.8330 b=6.8330 c=7.7012 alpha=98.56 beta=98.56 gamma=120.03
Fractional positions:
K 0.0000 0.0000 0.0000
K 0.3295 0.6705 0.0000
K 0.6705 0.3295 0.0000
Tb 0.1663 0.8337 0.5000
Tb 0.8337 0.1663 0.5000
Al 0.5000 0.5000 0.5000
S 0.1287 0.4354 0.3064
S 0.2590 0.2590 0.6939
S 0.4354 0.1287 0.3064
S 0.5646 0.8713 0.6936
S 0.7410 0.7410 0.3061
S 0.8713 0.5646 0.6936

Output
Volume, Å³/cell: 297
ρ, g/cm3: 3.657
Uncorrected energy, eV/atom: -5.019

=====

Entry 6:
Entry from Alexandria: an optimized crystal structure of KAl2TeS6 (PBE).

Unit cell a=8.6516 b=8.6516 c=6.7984 alpha=93.98 beta=93.98 gamma=94.32
Fractional positions:
K 0.0609 0.9391 0.7500
K 0.9391 0.0609 0.2500
Al 0.2140 0.3976 0.7743
Al 0.3976 0.2140 0.2743
Al 0.6024 0.7860 0.7257
Al 0.7860 0.6024 0.2257
Te 0.2778 0.7222 0.2500
Te 0.7222 0.2778 0.7500
S 0.0151 0.7271 0.3746
S 0.1357 0.6212 0.9020
S 0.2729 0.9849 0.1254
S 0.2873 0.3983 0.4541
S 0.3788 0.8643 0.5980
S 0.3983 0.2873 0.9541
S 0.6017 0.7127 0.0459
S 0.6212 0.1357 0.4020
S 0.7127 0.6017 0.5459
S 0.7271 0.0151 0.8746
S 0.8643 0.3788 0.0980
S 0.9849 0.2729 0.6254

Output
Volume, Å³/cell: 505
ρ, g/cm3: 2.718
Uncorrected energy, eV/atom: -4.200

=====

Entry 7:
Entry from Alexandria: an optimized crystal structure of K2AlTe2S6 (PBE).

Unit cell a=6.5998 b=6.5998 c=7.9283 alpha=100.04 beta=100.04 gamma=114.29
Fractional positions:
K 0.1800 0.8200 0.0000
K 0.8200 0.1800 0.0000
Al 0.0000 0.0000 0.5000
Te 0.3280 0.6720 0.5000
Te 0.6720 0.3280 0.5000
S 0.0457 0.3613 0.6878
S 0.2213 0.2213 0.3149
S 0.3613 0.0457 0.6878
S 0.6387 0.9543 0.3122
S 0.7787 0.7787 0.6851
S 0.9543 0.6387 0.3122

Output
Volume, Å³/cell: 298
ρ, g/cm3: 3.080
Uncorrected energy, eV/atom: -3.935

=====

Entry 8:
Entry from Alexandria: an optimized crystal structure of K2AlTeS4 (PBE).

Unit cell a=12.9327 b=11.1697 c=8.0705 alpha=82.79 beta=58.96 gamma=38.25
Fractional positions:
K 0.0532 0.0532 0.6968
K 0.3032 0.3032 0.9468
K 0.6968 0.6968 0.0532
K 0.9468 0.9468 0.3032
Al 0.3750 0.3750 0.3750
Al 0.6250 0.6250 0.6250
Te 0.1250 0.1250 0.1250
Te 0.8750 0.8750 0.8750
S 0.0179 0.6475 0.5211
S 0.3135 0.5211 0.6475
S 0.3525 0.9821 0.6865
S 0.4789 0.6865 0.9821
S 0.5211 0.3135 0.0179
S 0.6475 0.0179 0.3135
S 0.6865 0.4789 0.3525
S 0.9821 0.3525 0.4789

Output
Volume, Å³/cell: 526
ρ, g/cm3: 2.281
Uncorrected energy, eV/atom: -3.896

=====

Entry 9:
Entry from Alexandria: an optimized crystal structure of KAlTe2S6 (PBE).

Unit cell a=9.2222 b=9.2222 c=9.1347 alpha=107.57 beta=107.57 gamma=99.90
Fractional positions:
K 0.1027 0.8973 0.7500
K 0.8973 0.1027 0.2500
Al 0.1971 0.8029 0.2500
Al 0.8029 0.1971 0.7500
Te 0.2669 0.4419 0.8585
Te 0.4419 0.2669 0.3585
Te 0.5581 0.7331 0.6415
Te 0.7331 0.5581 0.1415
S 0.0224 0.2143 0.6806
S 0.1543 0.6457 0.9869
S 0.2143 0.0224 0.1806
S 0.3197 0.3960 0.5235
S 0.3543 0.8457 0.5131
S 0.3960 0.3197 0.0235
S 0.6040 0.6803 0.9765
S 0.6457 0.1543 0.4869
S 0.6803 0.6040 0.4765
S 0.7857 0.9776 0.8194
S 0.8457 0.3543 0.0131
S 0.9776 0.7857 0.3194

Output
Volume, Å³/cell: 676
ρ, g/cm3: 2.524
Uncorrected energy, eV/atom: -3.923

=====

Entry 10:
Entry from Alexandria: an optimized crystal structure of KThAlS4 (PBE).

Unit cell a=6.6351 b=6.6595 c=8.8826 alpha=90.00 beta=107.45 gamma=90.00
Fractional positions:
K 0.2245 0.2500 0.4358
K 0.7755 0.7500 0.5642
Th 0.2694 0.2500 0.9458
Th 0.7306 0.7500 0.0542
Al 0.2708 0.7500 0.1740
Al 0.7292 0.2500 0.8260
S 0.0648 0.7500 0.9215
S 0.0670 0.7500 0.3315
S 0.4968 0.5057 0.7932
S 0.4968 0.9943 0.7932
S 0.5032 0.0057 0.2068
S 0.5032 0.4943 0.2068
S 0.9330 0.2500 0.6685
S 0.9352 0.2500 0.0785

Output
Volume, Å³/cell: 374
ρ, g/cm3: 3.782
Uncorrected energy, eV/atom: -5.683

=====

Entry 11:
Entry from Alexandria: an optimized crystal structure of K2TiAlS4 (PBE).

Unit cell a=6.6862 b=6.6862 c=6.6862 alpha=117.68 beta=117.68 gamma=94.07
Fractional positions:
K 0.0000 0.0000 0.0000
K 0.7500 0.2500 0.5000
Ti 0.5000 0.5000 0.0000
Al 0.2500 0.7500 0.5000
S 0.2249 0.1180 0.5939
S 0.3690 0.7751 0.8931
S 0.5241 0.6310 0.4061
S 0.8820 0.4759 0.1069

Output
Volume, Å³/cell: 218
ρ, g/cm3: 2.141
Uncorrected energy, eV/atom: -5.016

=====

Entry 12:
Entry from Alexandria: an optimized crystal structure of K4Tm3AlS8 (PBE).

Unit cell a=8.6273 b=8.6273 c=8.6273 alpha=54.07 beta=54.07 gamma=54.07
Fractional positions:
K 0.0000 0.0000 0.0000
K 0.0000 0.5000 0.5000
K 0.5000 0.0000 0.5000
K 0.5000 0.5000 0.0000
Tm 0.0000 0.0000 0.5000
Tm 0.0000 0.5000 0.0000
Tm 0.5000 0.0000 0.0000
Al 0.5000 0.5000 0.5000
S 0.2338 0.2338 0.2338
S 0.2506 0.7205 0.7205
S 0.2795 0.2795 0.7494
S 0.2795 0.7494 0.2795
S 0.7205 0.2506 0.7205
S 0.7205 0.7205 0.2506
S 0.7494 0.2795 0.2795
S 0.7662 0.7662 0.7662

Output
Volume, Å³/cell: 391
ρ, g/cm3: 4.018
Uncorrected energy, eV/atom: -5.079